Entry from Alexandria: an optimized crystal structure of PtSe2Cl (GGA-PBE).

It has space group Cmm2 (No. 35), with a = 3.4402 Å, b = 5.9518 Å, c = 9.5703 Å, α = 90.00°, β = 90.00° and γ = 90.00°. The distinct sites, in fractional coordinates, are Pt at (0.0000, 0.0000, 0.0000), Se at (0.0000, 0.0000, 0.4387), Se at (0.0000, 0.5000, 0.1708) and Cl at (0.0000, 0.5000, 0.8188).

For the uncorrected formation energy, the calculation gives 0.26 eV per atom. For the volume, the calculation gives 24.49 A^3/atom. The calculation puts the density of states at the Fermi level at 6.1 states/eV per cell. The value obtained for the relative energy among the computed polymorphs is 603 meV/atom.